{
  "formula": "GdSnPd",
  "functional": "PBEsol",
  "state": "optimized geometry",
  "mass_density_g_cm3": 9.8,
  "cell": [[7.176, 0.000, 0.000], [0.000, 4.601, 0.000], [0.000, 0.000, 7.878]],
  "species": ["Gd", "Gd", "Gd", "Gd", "Sn", "Sn", "Sn", "Sn", "Pd", "Pd", "Pd", "Pd"],
  "fractional_positions": [[0.011, 0.250, 0.203], [0.489, 0.750, 0.703], [0.511, 0.250, 0.297], [0.989, 0.750, 0.797], [0.189, 0.250, 0.586], [0.311, 0.750, 0.086], [0.689, 0.250, 0.914], [0.811, 0.750, 0.414], [0.207, 0.750, 0.415], [0.293, 0.250, 0.915], [0.707, 0.750, 0.085], [0.793, 0.250, 0.585]]
}

---

{
  "formula": "GdTlPd",
  "functional": "PBEsol",
  "state": "optimized geometry",
  "mass_density_g_cm3": 11.9,
  "cell": [[7.702, 0.000, 0.000], [-3.851, 6.670, 0.000], [0.000, 0.000, 3.821]],
  "species": ["Gd", "Gd", "Gd", "Tl", "Tl", "Tl", "Pd", "Pd", "Pd"],
  "fractional_positions": [[0.000, 0.596, 0.000], [0.404, 0.404, 0.000], [0.596, 0.000, 0.000], [0.000, 0.265, 0.500], [0.265, 0.000, 0.500], [0.735, 0.735, 0.500], [0.000, 0.000, 0.000], [0.333, 0.667, 0.500], [0.667, 0.333, 0.500]]
}

---

{
  "formula": "Pm3Gd",
  "functional": "PBEsol",
  "state": "optimized geometry",
  "mass_density_g_cm3": 7.7,
  "cell": [[5.032, 0.000, 0.000], [0.000, 5.032, 0.000], [0.000, 0.000, 10.029]],
  "species": ["Pm", "Pm", "Pm", "Pm", "Pm", "Pm", "Gd", "Gd"],
  "fractional_positions": [[0.000, 0.000, 0.000], [0.000, 0.500, 0.250], [0.000, 0.500, 0.750], [0.500, 0.000, 0.250], [0.500, 0.000, 0.750], [0.500, 0.500, 0.500], [0.000, 0.000, 0.500], [0.500, 0.500, 0.000]]
}

---

| no. | raw total energy (eV per cell) |
| --- | --- |
| 1 | -110.1 |
| 2 | -75.4 |
| 3 | -59.7 |